Below is a relaxed structure of Tb2Nd3Er, with properties calculated at the GGA-PBE level.

POSCAR file:
```
Tb2Nd3Er
1.0
5.429 -3.133 0.000
5.429 3.133 0.000
0.000 0.000 11.600
Tb Nd Er
4 6 2
direct
0.001 0.333 0.250
0.333 0.001 0.750
0.667 0.999 0.250
0.999 0.667 0.750
0.000 0.000 0.000
0.000 0.000 0.500
0.334 0.334 0.000
0.334 0.334 0.500
0.666 0.666 0.000
0.666 0.666 0.500
0.333 0.667 0.250
0.667 0.333 0.750
```

## Properties
E_tot = -0.3446 Ry per atom
Size of the total moment = 0.001 μB/atom

***

Below is a relaxed structure of LiTl2TcBr6, with properties calculated at the GGA-PBE level.

POSCAR file:
```
LiTl2TcBr6
1.0
0.000 5.259 5.259
5.259 0.000 5.259
5.259 5.259 0.000
Li Tl Tc Br
1 2 1 6
direct
0.000 0.000 0.000
0.250 0.250 0.250
0.750 0.750 0.750
0.500 0.500 0.500
0.257 0.257 0.743
0.257 0.743 0.257
0.257 0.743 0.743
0.743 0.257 0.257
0.743 0.257 0.743
0.743 0.743 0.257
```

## Properties
E_tot = -0.2511 Ry per atom
Size of the total moment = 0.200 μB/atom

***

Below is a relaxed structure of HoTmSi2Pd4, with properties calculated at the GGA-PBE level.

POSCAR file:
```
HoTmSi2Pd4
1.0
7.123 0.000 0.000
0.000 1.915 5.076
0.000 -1.915 5.076
Ho Tm Si Pd
1 1 2 4
direct
0.000 0.000 0.000
0.500 0.895 0.895
0.000 0.717 0.717
0.500 0.178 0.178
0.198 0.303 0.303
0.304 0.592 0.592
0.696 0.592 0.592
0.802 0.303 0.303
```

## Properties
E_tot = -0.4437 Ry per atom
Size of the total moment = 0.001 μB/atom

***

Below is a relaxed structure of Tm3Ga5Ni, with properties calculated at the GGA-PBE level.

POSCAR file:
```
Tm3Ga5Ni
1.0
6.803 0.000 0.000
-3.402 5.892 0.000
0.000 0.000 4.175
Tm Ga Ni
3 5 1
direct
0.000 0.592 0.000
0.408 0.408 0.000
0.592 0.000 0.000
0.000 0.236 0.500
0.236 0.000 0.500
0.333 0.667 0.500
0.667 0.333 0.500
0.764 0.764 0.500
0.000 0.000 0.000
```

## Properties
E_tot = -0.3278 Ry per atom
Size of the total moment = 0.000 μB/atom

***

Below is a relaxed structure of ZnInAsO, with properties calculated at the GGA-PBE level.

POSCAR file:
```
ZnInAsO
1.0
3.998 0.000 0.000
0.000 6.405 0.000
0.000 0.000 5.992
Zn In As O
2 2 2 2
direct
0.000 0.131 0.000
0.000 0.869 0.500
0.500 0.297 0.420
0.500 0.703 0.920
0.500 0.295 0.860
0.500 0.705 0.360
0.000 0.153 0.342
0.000 0.847 0.842
```

## Properties
E_tot = -0.2994 Ry per atom

***

Below is a relaxed structure of MoBr, with properties calculated at the GGA-PBE level.

POSCAR file:
```
MoBr
1.0
4.334 0.000 0.000
-2.167 3.753 0.000
0.000 0.000 4.968
Mo Br
2 2
direct
0.000 0.000 0.000
0.000 0.000 0.500
0.333 0.667 0.250
0.667 0.333 0.750
```

## Properties
Energy relative to the lowest polymorph listed for this composition = 143 meV/atom
Size of the total moment = 0.000 μB/atom